Sc5AlRu: relaxed, PBE.

The structure in CIF format:
```
data_Sc5AlRu
_symmetry_space_group_name_H-M 'P 1'
_symmetry_Int_Tables_number 1
_cell_length_a 5.315
_cell_length_b 5.315
_cell_length_c 11.147
_cell_angle_alpha 101.08
_cell_angle_beta 101.08
_cell_angle_gamma 81.85
loop_
_symmetry_equiv_pos_as_xyz
'x,y,z'
loop_
_atom_site_label
_atom_site_type_symbol
_atom_site_fract_x
_atom_site_fract_y
_atom_site_fract_z
Sc1 Sc 0.016 0.984 0.750
Sc2 Sc 0.082 0.426 0.624
Sc3 Sc 0.200 0.524 0.926
Sc4 Sc 0.426 0.082 0.124
Sc5 Sc 0.476 0.800 0.574
Sc6 Sc 0.524 0.200 0.426
Sc7 Sc 0.574 0.918 0.876
Sc8 Sc 0.800 0.476 0.074
Sc9 Sc 0.918 0.574 0.376
Sc10 Sc 0.984 0.016 0.250
Al1 Al 0.388 0.612 0.250
Al2 Al 0.612 0.388 0.750
Ru1 Ru 0.000 0.000 0.000
Ru2 Ru 0.000 0.000 0.500
```

Summary:
- DFT formation energy: -0.176 eV per atom

---

RbCdIn2Au4: relaxed, PBE.

The structure in CIF format:
```
data_RbCdIn2Au4
_symmetry_space_group_name_H-M 'P 1'
_symmetry_Int_Tables_number 1
_cell_length_a 11.043
_cell_length_b 11.043
_cell_length_c 11.043
_cell_angle_alpha 24.64
_cell_angle_beta 24.64
_cell_angle_gamma 24.64
loop_
_symmetry_equiv_pos_as_xyz
'x,y,z'
loop_
_atom_site_label
_atom_site_type_symbol
_atom_site_fract_x
_atom_site_fract_y
_atom_site_fract_z
Rb1 Rb 0.000 0.000 0.000
Cd1 Cd 0.500 0.500 0.500
In1 In 0.239 0.239 0.239
In2 In 0.761 0.761 0.761
Au1 Au 0.133 0.133 0.133
Au2 Au 0.410 0.410 0.410
Au3 Au 0.590 0.590 0.590
Au4 Au 0.867 0.867 0.867
```

Summary:
- DFT formation energy: -0.182 eV per atom

---

Al3CuSi3: relaxed, PBE.

The structure in CIF format:
```
data_Al3CuSi3
_symmetry_space_group_name_H-M 'P 1'
_symmetry_Int_Tables_number 1
_cell_length_a 7.278
_cell_length_b 4.550
_cell_length_c 7.282
_cell_angle_alpha 90.00
_cell_angle_beta 119.97
_cell_angle_gamma 90.00
loop_
_symmetry_equiv_pos_as_xyz
'x,y,z'
loop_
_atom_site_label
_atom_site_type_symbol
_atom_site_fract_x
_atom_site_fract_y
_atom_site_fract_z
Al1 Al 0.030 0.250 0.407
Al2 Al 0.122 0.750 0.030
Al3 Al 0.408 0.750 0.878
Al4 Al 0.592 0.250 0.122
Al5 Al 0.878 0.250 0.970
Al6 Al 0.970 0.750 0.593
Cu1 Cu 0.169 0.250 0.833
Cu2 Cu 0.831 0.750 0.167
Si1 Si 0.266 0.750 0.457
Si2 Si 0.309 0.250 0.266
Si3 Si 0.457 0.250 0.690
Si4 Si 0.543 0.750 0.310
Si5 Si 0.691 0.750 0.734
Si6 Si 0.734 0.250 0.543
```

Summary:
- Relative energy among the computed polymorphs: 47 meV/atom
- ΔE_f (raw): 4.596 kcal/mol of atoms

---

Pr2CdGa3Cu4: relaxed, PBE.

The structure in CIF format:
```
data_Pr2CdGa3Cu4
_symmetry_space_group_name_H-M 'P 1'
_symmetry_Int_Tables_number 1
_cell_length_a 4.305
_cell_length_b 4.305
_cell_length_c 10.280
_cell_angle_alpha 90.00
_cell_angle_beta 90.00
_cell_angle_gamma 90.00
loop_
_symmetry_equiv_pos_as_xyz
'x,y,z'
loop_
_atom_site_label
_atom_site_type_symbol
_atom_site_fract_x
_atom_site_fract_y
_atom_site_fract_z
Pr1 Pr 0.000 0.500 0.235
Pr2 Pr 0.500 0.000 0.765
Cd1 Cd 0.000 0.000 0.500
Ga1 Ga 0.000 0.500 0.878
Ga2 Ga 0.500 0.000 0.122
Ga3 Ga 0.500 0.500 0.500
Cu1 Cu 0.000 0.000 0.000
Cu2 Cu 0.000 0.500 0.643
Cu3 Cu 0.500 0.000 0.357
Cu4 Cu 0.500 0.500 0.000
```

Summary:
- DFT formation energy: -0.355 eV per atom

---

Y2Au: relaxed, PBE.

The structure in CIF format:
```
data_Y2Au
_symmetry_space_group_name_H-M 'P 1'
_symmetry_Int_Tables_number 1
_cell_length_a 5.005
_cell_length_b 5.005
_cell_length_c 3.508
_cell_angle_alpha 90.00
_cell_angle_beta 90.00
_cell_angle_gamma 90.00
loop_
_symmetry_equiv_pos_as_xyz
'x,y,z'
loop_
_atom_site_label
_atom_site_type_symbol
_atom_site_fract_x
_atom_site_fract_y
_atom_site_fract_z
Y1 Y 0.000 0.500 0.000
Y2 Y 0.500 0.000 0.000
Au1 Au 0.000 0.000 0.500
```

Summary:
- DFT formation energy: -0.377 eV per atom

---

CePm2Pb: relaxed, PBE.

The structure in CIF format:
```
data_CePm2Pb
_symmetry_space_group_name_H-M 'P 1'
_symmetry_Int_Tables_number 1
_cell_length_a 11.426
_cell_length_b 11.426
_cell_length_c 11.426
_cell_angle_alpha 18.19
_cell_angle_beta 18.19
_cell_angle_gamma 18.19
loop_
_symmetry_equiv_pos_as_xyz
'x,y,z'
loop_
_atom_site_label
_atom_site_type_symbol
_atom_site_fract_x
_atom_site_fract_y
_atom_site_fract_z
Ce1 Ce 0.000 0.000 0.000
Pm1 Pm 0.247 0.247 0.247
Pm2 Pm 0.419 0.419 0.419
Pb1 Pb 0.833 0.833 0.833
```

Summary:
- Relative energy among the computed polymorphs: 187 meV/atom
- DFT formation energy: -0.099 eV per atom

---

Pm7Tm12Th: relaxed, PBE.

The structure in CIF format:
```
data_Pm7Tm12Th
_symmetry_space_group_name_H-M 'P 1'
_symmetry_Int_Tables_number 1
_cell_length_a 8.696
_cell_length_b 8.696
_cell_length_c 8.696
_cell_angle_alpha 88.95
_cell_angle_beta 88.95
_cell_angle_gamma 88.95
loop_
_symmetry_equiv_pos_as_xyz
'x,y,z'
loop_
_atom_site_label
_atom_site_type_symbol
_atom_site_fract_x
_atom_site_fract_y
_atom_site_fract_z
Pm1 Pm 0.000 0.000 0.000
Pm2 Pm 0.119 0.339 0.455
Pm3 Pm 0.339 0.455 0.119
Pm4 Pm 0.455 0.119 0.339
Pm5 Pm 0.545 0.881 0.661
Pm6 Pm 0.661 0.545 0.881
Pm7 Pm 0.881 0.661 0.545
Tm1 Tm 0.002 0.648 0.117
Tm2 Tm 0.117 0.002 0.648
Tm3 Tm 0.213 0.635 0.756
Tm4 Tm 0.244 0.787 0.365
Tm5 Tm 0.352 0.883 0.998
Tm6 Tm 0.365 0.244 0.787
Tm7 Tm 0.635 0.756 0.213
Tm8 Tm 0.648 0.117 0.002
Tm9 Tm 0.756 0.213 0.635
Tm10 Tm 0.787 0.365 0.244
Tm11 Tm 0.883 0.998 0.352
Tm12 Tm 0.998 0.352 0.883
Th1 Th 0.500 0.500 0.500
```

Summary:
- DFT formation energy: 0.237 eV per atom

---

Hf3Be: relaxed, PBE.

The structure in CIF format:
```
data_Hf3Be
_symmetry_space_group_name_H-M 'P 1'
_symmetry_Int_Tables_number 1
_cell_length_a 4.235
_cell_length_b 4.235
_cell_length_c 4.235
_cell_angle_alpha 90.00
_cell_angle_beta 90.00
_cell_angle_gamma 90.00
loop_
_symmetry_equiv_pos_as_xyz
'x,y,z'
loop_
_atom_site_label
_atom_site_type_symbol
_atom_site_fract_x
_atom_site_fract_y
_atom_site_fract_z
Hf1 Hf 0.000 0.000 0.500
Hf2 Hf 0.000 0.500 0.000
Hf3 Hf 0.500 0.000 0.000
Be1 Be 0.500 0.500 0.500
```

Summary:
- Relative energy among the computed polymorphs: 31 meV/atom
- DFT formation energy: 0.090 eV per atom

---

RuSeSBr2: relaxed, PBE.

The structure in CIF format:
```
data_RuSeSBr2
_symmetry_space_group_name_H-M 'P 1'
_symmetry_Int_Tables_number 1
_cell_length_a 5.040
_cell_length_b 5.040
_cell_length_c 4.994
_cell_angle_alpha 90.00
_cell_angle_beta 90.00
_cell_angle_gamma 90.00
loop_
_symmetry_equiv_pos_as_xyz
'x,y,z'
loop_
_atom_site_label
_atom_site_type_symbol
_atom_site_fract_x
_atom_site_fract_y
_atom_site_fract_z
Ru1 Ru 0.000 0.000 0.000
Se1 Se 0.500 0.500 0.000
S1 S 0.500 0.500 0.500
Br1 Br 0.000 0.500 0.500
Br2 Br 0.500 0.000 0.500
```

Summary:
- Relative energy among the computed polymorphs: 485 meV/atom
- ΔE_f (raw): 25.595 kcal/mol of atoms

---

Tm3AuO6: relaxed, PBE.

The structure in CIF format:
```
data_Tm3AuO6
_symmetry_space_group_name_H-M 'P 1'
_symmetry_Int_Tables_number 1
_cell_length_a 7.097
_cell_length_b 7.097
_cell_length_c 5.509
_cell_angle_alpha 90.00
_cell_angle_beta 90.00
_cell_angle_gamma 102.00
loop_
_symmetry_equiv_pos_as_xyz
'x,y,z'
loop_
_atom_site_label
_atom_site_type_symbol
_atom_site_fract_x
_atom_site_fract_y
_atom_site_fract_z
Tm1 Tm 0.100 0.900 0.500
Tm2 Tm 0.164 0.405 0.448
Tm3 Tm 0.405 0.164 0.948
Tm4 Tm 0.595 0.836 0.448
Tm5 Tm 0.836 0.595 0.948
Tm6 Tm 0.900 0.100 0.000
Au1 Au 0.367 0.633 0.940
Au2 Au 0.633 0.367 0.440
O1 O 0.083 0.609 0.713
O2 O 0.140 0.176 0.722
O3 O 0.176 0.140 0.222
O4 O 0.283 0.717 0.264
O5 O 0.391 0.917 0.713
O6 O 0.462 0.538 0.614
O7 O 0.538 0.462 0.114
O8 O 0.609 0.083 0.213
O9 O 0.717 0.283 0.764
O10 O 0.824 0.860 0.722
O11 O 0.860 0.824 0.222
O12 O 0.917 0.391 0.213
```

Summary:
- ΔE_f (raw): -61.218 kcal/mol of atoms

---

ZrBrO2F: relaxed, PBE.

The structure in CIF format:
```
data_ZrBrO2F
_symmetry_space_group_name_H-M 'P 1'
_symmetry_Int_Tables_number 1
_cell_length_a 3.979
_cell_length_b 3.979
_cell_length_c 4.950
_cell_angle_alpha 90.00
_cell_angle_beta 90.00
_cell_angle_gamma 90.00
loop_
_symmetry_equiv_pos_as_xyz
'x,y,z'
loop_
_atom_site_label
_atom_site_type_symbol
_atom_site_fract_x
_atom_site_fract_y
_atom_site_fract_z
Zr1 Zr 0.000 0.000 0.000
Br1 Br 0.500 0.500 0.500
O1 O 0.000 0.500 0.500
O2 O 0.500 0.000 0.500
F1 F 0.500 0.500 0.000
```

Summary:
- ΔE_f (raw): 0.064 kcal/mol of atoms

---

Sb5Rh: relaxed, PBE.

The structure in CIF format:
```
data_Sb5Rh
_symmetry_space_group_name_H-M 'P 1'
_symmetry_Int_Tables_number 1
_cell_length_a 7.461
_cell_length_b 7.461
_cell_length_c 5.596
_cell_angle_alpha 90.00
_cell_angle_beta 90.00
_cell_angle_gamma 147.05
loop_
_symmetry_equiv_pos_as_xyz
'x,y,z'
loop_
_atom_site_label
_atom_site_type_symbol
_atom_site_fract_x
_atom_site_fract_y
_atom_site_fract_z
Sb1 Sb 0.000 0.000 0.000
Sb2 Sb 0.322 0.678 0.000
Sb3 Sb 0.388 0.612 0.500
Sb4 Sb 0.612 0.388 0.500
Sb5 Sb 0.678 0.322 0.000
Rh1 Rh 0.000 0.000 0.500
```

Summary:
- Relative energy among the computed polymorphs: 0 meV/atom
- ΔE_f (raw): -1.319 kcal/mol of atoms

---

FePCl: relaxed, PBE.

The structure in CIF format:
```
data_FePCl
_symmetry_space_group_name_H-M 'P 1'
_symmetry_Int_Tables_number 1
_cell_length_a 5.641
_cell_length_b 5.641
_cell_length_c 5.641
_cell_angle_alpha 147.96
_cell_angle_beta 147.96
_cell_angle_gamma 45.95
loop_
_symmetry_equiv_pos_as_xyz
'x,y,z'
loop_
_atom_site_label
_atom_site_type_symbol
_atom_site_fract_x
_atom_site_fract_y
_atom_site_fract_z
Fe1 Fe 0.000 0.000 0.000
P1 P 0.556 0.556 0.000
Cl1 Cl 0.770 0.770 0.000
```

Summary:
- Relative energy among the computed polymorphs: 349 meV/atom
- ΔE_f (raw): -1.418 kcal/mol of atoms

---

PdClF2: relaxed, PBE.

The structure in CIF format:
```
data_PdClF2
_symmetry_space_group_name_H-M 'P 1'
_symmetry_Int_Tables_number 1
_cell_length_a 7.971
_cell_length_b 7.971
_cell_length_c 7.971
_cell_angle_alpha 150.02
_cell_angle_beta 150.02
_cell_angle_gamma 42.91
loop_
_symmetry_equiv_pos_as_xyz
'x,y,z'
loop_
_atom_site_label
_atom_site_type_symbol
_atom_site_fract_x
_atom_site_fract_y
_atom_site_fract_z
Pd1 Pd 0.000 0.000 0.000
Pd2 Pd 0.750 0.250 0.500
Cl1 Cl 0.250 0.750 0.500
Cl2 Cl 0.500 0.500 0.000
F1 F 0.035 0.625 0.910
F2 F 0.375 0.285 0.410
F3 F 0.715 0.125 0.090
F4 F 0.875 0.965 0.590
```

Summary:
- Relative energy among the computed polymorphs: 698 meV/atom
- ΔE_f (raw): -5.442 kcal/mol of atoms

---

TaTl2Mo: relaxed, PBE.

The structure in CIF format:
```
data_TaTl2Mo
_symmetry_space_group_name_H-M 'P 1'
_symmetry_Int_Tables_number 1
_cell_length_a 9.836
_cell_length_b 9.836
_cell_length_c 9.836
_cell_angle_alpha 18.11
_cell_angle_beta 18.11
_cell_angle_gamma 18.11
loop_
_symmetry_equiv_pos_as_xyz
'x,y,z'
loop_
_atom_site_label
_atom_site_type_symbol
_atom_site_fract_x
_atom_site_fract_y
_atom_site_fract_z
Ta1 Ta 0.000 0.000 0.000
Tl1 Tl 0.248 0.248 0.248
Tl2 Tl 0.752 0.752 0.752
Mo1 Mo 0.500 0.500 0.500
```

Summary:
- Relative energy among the computed polymorphs: 320 meV/atom
- DFT formation energy: 0.738 eV per atom

---

La2ZnTc: relaxed, PBE.

The structure in CIF format:
```
data_La2ZnTc
_symmetry_space_group_name_H-M 'P 1'
_symmetry_Int_Tables_number 1
_cell_length_a 9.031
_cell_length_b 9.031
_cell_length_c 9.031
_cell_angle_alpha 24.13
_cell_angle_beta 24.13
_cell_angle_gamma 24.13
loop_
_symmetry_equiv_pos_as_xyz
'x,y,z'
loop_
_atom_site_label
_atom_site_type_symbol
_atom_site_fract_x
_atom_site_fract_y
_atom_site_fract_z
La1 La 0.240 0.240 0.240
La2 La 0.760 0.760 0.760
Zn1 Zn 0.000 0.000 0.000
Tc1 Tc 0.500 0.500 0.500
```

Summary:
- DFT formation energy: 0.199 eV per atom

---

Na2Ni2H5: relaxed, PBE.

The structure in CIF format:
```
data_Na2Ni2H5
_symmetry_space_group_name_H-M 'P 1'
_symmetry_Int_Tables_number 1
_cell_length_a 5.042
_cell_length_b 5.042
_cell_length_c 5.827
_cell_angle_alpha 95.58
_cell_angle_beta 95.58
_cell_angle_gamma 35.38
loop_
_symmetry_equiv_pos_as_xyz
'x,y,z'
loop_
_atom_site_label
_atom_site_type_symbol
_atom_site_fract_x
_atom_site_fract_y
_atom_site_fract_z
Na1 Na 0.094 0.094 0.322
Na2 Na 0.906 0.906 0.678
Ni1 Ni 0.345 0.345 0.104
Ni2 Ni 0.655 0.655 0.896
H1 H 0.237 0.237 0.863
H2 H 0.414 0.414 0.357
H3 H 0.500 0.500 0.000
H4 H 0.586 0.586 0.643
H5 H 0.763 0.763 0.137
```

Summary:
- Relative energy among the computed polymorphs: 13 meV/atom

---

MnIn4Mo: relaxed, PBE.

The structure in CIF format:
```
data_MnIn4Mo
_symmetry_space_group_name_H-M 'P 1'
_symmetry_Int_Tables_number 1
_cell_length_a 5.669
_cell_length_b 5.669
_cell_length_c 5.669
_cell_angle_alpha 60.00
_cell_angle_beta 60.00
_cell_angle_gamma 60.00
loop_
_symmetry_equiv_pos_as_xyz
'x,y,z'
loop_
_atom_site_label
_atom_site_type_symbol
_atom_site_fract_x
_atom_site_fract_y
_atom_site_fract_z
Mn1 Mn 0.000 0.000 0.000
In1 In 0.375 0.375 0.375
In2 In 0.375 0.375 0.875
In3 In 0.375 0.875 0.375
In4 In 0.875 0.375 0.375
Mo1 Mo 0.750 0.750 0.750
```

Summary:
- DFT formation energy: 0.749 eV per atom

---

InCu2Ag: relaxed, PBE.

The structure in CIF format:
```
data_InCu2Ag
_symmetry_space_group_name_H-M 'P 1'
_symmetry_Int_Tables_number 1
_cell_length_a 4.417
_cell_length_b 4.417
_cell_length_c 3.268
_cell_angle_alpha 90.00
_cell_angle_beta 90.00
_cell_angle_gamma 90.28
loop_
_symmetry_equiv_pos_as_xyz
'x,y,z'
loop_
_atom_site_label
_atom_site_type_symbol
_atom_site_fract_x
_atom_site_fract_y
_atom_site_fract_z
In1 In 0.000 0.000 0.000
Cu1 Cu 0.000 0.500 0.500
Cu2 Cu 0.500 0.000 0.500
Ag1 Ag 0.500 0.500 0.000
```

Summary:
- DFT formation energy: 0.057 eV per atom

---

Tl6SnAu3: relaxed, PBE.

The structure in CIF format:
```
data_Tl6SnAu3
_symmetry_space_group_name_H-M 'P 1'
_symmetry_Int_Tables_number 1
_cell_length_a 9.478
_cell_length_b 9.478
_cell_length_c 6.408
_cell_angle_alpha 90.00
_cell_angle_beta 90.00
_cell_angle_gamma 104.72
loop_
_symmetry_equiv_pos_as_xyz
'x,y,z'
loop_
_atom_site_label
_atom_site_type_symbol
_atom_site_fract_x
_atom_site_fract_y
_atom_site_fract_z
Tl1 Tl 0.053 0.439 0.096
Tl2 Tl 0.053 0.947 0.500
Tl3 Tl 0.318 0.682 0.556
Tl4 Tl 0.333 0.356 0.373
Tl5 Tl 0.356 0.333 0.873
Tl6 Tl 0.439 0.053 0.596
Tl7 Tl 0.561 0.947 0.096
Tl8 Tl 0.644 0.667 0.373
Tl9 Tl 0.667 0.644 0.873
Tl10 Tl 0.682 0.318 0.056
Tl11 Tl 0.947 0.053 0.000
Tl12 Tl 0.947 0.561 0.596
Sn1 Sn 0.181 0.819 0.960
Sn2 Sn 0.819 0.181 0.460
Au1 Au 0.076 0.296 0.665
Au2 Au 0.296 0.076 0.165
Au3 Au 0.367 0.633 0.059
Au4 Au 0.633 0.367 0.559
Au5 Au 0.704 0.924 0.665
Au6 Au 0.924 0.704 0.165
```

Summary:
- DFT formation energy: -0.022 eV per atom